VASP calculation (PBE-GGA) on an optimized crystal structure of YTlNO2.

Cell lengths 4.2022, 4.2022, 4.2418 Å; angles 90.00, 90.00, 90.00 degrees
With the nearest neighbours (Å) after each atom.
Space group P4/mmm (No. 123)
Asymmetric unit:
Y: 0.0000 0.0000 0.0000 x1  4 N 2.97, 8 O 2.99
Tl: 0.5000 0.5000 0.5000 x1  4 O 2.10, 2 N 2.12
N: 0.5000 0.5000 0.0000 x1  2 Tl 2.12
O: 0.0000 0.5000 0.5000 x2  2 Tl 2.10

Computed properties:
- uncorrected formation energy (eV/atom) = -0.4029
- D(E_F) (states/eV per cell) = 1.70
- crystal system = tetragonal

---

VASP calculation (PBE-GGA) on an optimized crystal structure of Be2NbV.

Cell lengths 3.7461, 3.7461, 3.5122 Å; angles 90.00, 90.00, 90.00 degrees
With the nearest neighbours (Å) after each atom.
Space group P4/mmm (No. 123)
Asymmetric unit:
Be: 0.0000 0.5000 0.0000 x2  4 Nb 2.57, 4 V 2.57, 4 Be 2.65
Nb: 0.0000 0.0000 0.5000 x1  8 Be 2.57, 4 V 2.65
V: 0.5000 0.5000 0.5000 x1  8 Be 2.57, 4 Nb 2.65

Computed properties:
- D(E_F) (states/eV per cell) = 2.79
- crystal system = tetragonal
- energy of formation (eV/atom) = -0.035

---

VASP calculation (PBE-GGA) on an optimized crystal structure of Y4Tm3Co4.

Cell lengths 3.5594, 8.7933, 15.5779 Å; angles 90.00, 90.00, 90.00 degrees
With the nearest neighbours (Å) after each atom.
Space group Immm (No. 71)
Asymmetric unit:
Y: 0.0000 0.1851 0.1650 x8  4 Co 2.72-3.03
Tm: 0.0000 0.0000 0.3974 x4  6 Co 2.83-3.03
Tm: 0.0000 0.5000 0.5000 x2  4 Co 3.09
Co: 0.0000 0.2878 0.0000 x4  2 Y 2.72, 4 Tm 3.03
Co: 0.0000 0.5000 0.2442 x4  6 Y 2.80-3.03, 2 Tm 2.83

Computed properties:
- D(E_F) (states/eV per cell) = 17.45
- crystal system = orthorhombic
- energy of formation (eV/atom) = -0.084

---

VASP calculation (PBE-GGA) on an optimized crystal structure of SrAlZn2Si.

Cell lengths 4.2234, 4.2784, 11.0379 Å; angles 90.00, 90.00, 90.00 degrees
With the nearest neighbours (Å) after each atom.
Space group Imm2 (No. 44)
Asymmetric unit:
Sr: 0.0000 0.0000 0.0000 x2  4 Si 3.24, 8 Zn 3.27-3.52, 4 Al 3.48-3.49
Al: 0.0000 0.5000 0.7519 x2  2 Si 2.60, 2 Zn 2.61
Zn: 0.0000 0.0000 0.6160 x2  1 Si 2.49, 2 Zn 2.60, 2 Al 2.61
Zn: 0.0000 0.5000 0.2530 x2  2 Zn 2.60, 2 Si 2.62
Si: 0.0000 0.0000 0.3900 x2  3 Zn 2.49-2.62, 2 Al 2.60

Computed properties:
- uncorrected formation energy (eV/atom) = -0.3180
- D(E_F) (states/eV per cell) = 1.95
- crystal system = orthorhombic